Entry from Alexandria: LiY2BePt6 after structural relaxation (PBE). Values from VASP.

Structure (Quantum ESPRESSO input):
```
&SYSTEM
  ibrav = 0, nat = 10, ntyp = 4
/
ATOMIC_SPECIES
Li 6.94 Li.upf
Y 88.91 Y.upf
Be 9.01 Be.upf
Pt 195.08 Pt.upf
ATOMIC_POSITIONS crystal
Li 0.000 0.000 0.000
Y 0.243 0.243 0.235
Y 0.757 0.757 0.765
Be 0.500 0.500 0.500
Pt 0.251 0.728 0.258
Pt 0.255 0.255 0.725
Pt 0.272 0.747 0.744
Pt 0.728 0.253 0.256
Pt 0.745 0.745 0.275
Pt 0.749 0.272 0.742
CELL_PARAMETERS angstrom
5.918 0.000 0.000
2.396 5.434 0.000
2.349 1.516 5.294
```

Summary:
V	170	Å³/f.u.
E_form	-727.4	meV/atom
space group	P-1
DFT total energy	-0.45633	Ry/atom
crystal system	triclinic

***

Entry from Alexandria: LiY2Be4Pt3 after structural relaxation (PBE). Values from VASP.

Structure (Quantum ESPRESSO input):
```
&SYSTEM
  ibrav = 0, nat = 10, ntyp = 4
/
ATOMIC_SPECIES
Li 6.94 Li.upf
Y 88.91 Y.upf
Be 9.01 Be.upf
Pt 195.08 Pt.upf
ATOMIC_POSITIONS crystal
Li 0.000 0.000 0.000
Y 0.000 0.500 0.747
Y 0.500 0.000 0.253
Be 0.000 0.000 0.500
Be 0.000 0.500 0.124
Be 0.500 0.000 0.876
Be 0.500 0.500 0.500
Pt 0.000 0.500 0.372
Pt 0.500 0.000 0.628
Pt 0.500 0.500 0.000
CELL_PARAMETERS angstrom
4.062 0.000 0.000
0.000 4.062 0.000
0.000 0.000 9.297
```

Summary:
V	153	Å³/f.u.
E_form	-693.8	meV/atom
space group	P-4m2
DFT total energy	-0.40283	Ry/atom
crystal system	tetragonal

***

Entry from Alexandria: LiYBePt2 after structural relaxation (PBE). Values from VASP.

Structure (Quantum ESPRESSO input):
```
&SYSTEM
  ibrav = 0, nat = 5, ntyp = 4
/
ATOMIC_SPECIES
Li 6.94 Li.upf
Y 88.91 Y.upf
Be 9.01 Be.upf
Pt 195.08 Pt.upf
ATOMIC_POSITIONS crystal
Li 0.000 0.000 0.000
Y 0.500 0.500 0.000
Be 0.000 0.000 0.500
Pt 0.000 0.500 0.500
Pt 0.500 0.000 0.500
CELL_PARAMETERS angstrom
4.418 0.000 0.000
0.000 4.418 0.000
0.000 0.000 4.236
```

Summary:
V	83	Å³/f.u.
E_form	-681.6	meV/atom
space group	P4/mmm
DFT total energy	-0.40562	Ry/atom
crystal system	tetragonal

***

Entry from Alexandria: Li3Be2ZnPt3 after structural relaxation (PBE). Values from VASP.

Structure (Quantum ESPRESSO input):
```
&SYSTEM
  ibrav = 0, nat = 9, ntyp = 4
/
ATOMIC_SPECIES
Li 6.94 Li.upf
Be 9.01 Be.upf
Zn 65.41 Zn.upf
Pt 195.08 Pt.upf
ATOMIC_POSITIONS crystal
Li 0.000 0.297 0.000
Li 0.297 0.000 0.000
Li 0.703 0.703 0.000
Be 0.333 0.667 0.000
Be 0.667 0.333 0.000
Zn 0.000 0.000 0.500
Pt 0.000 0.615 0.500
Pt 0.385 0.385 0.500
Pt 0.615 0.000 0.500
CELL_PARAMETERS angstrom
6.767 0.000 0.000
-3.383 5.860 0.000
0.000 0.000 2.769
```

Summary:
V	110	Å³/f.u.
E_form	-547.6	meV/atom
space group	P-62m
DFT total energy	-0.30640	Ry/atom
crystal system	hexagonal

***

Entry from Alexandria: Li2Be2ZnPt5 after structural relaxation (PBE). Values from VASP.

Structure (Quantum ESPRESSO input):
```
&SYSTEM
  ibrav = 0, nat = 20, ntyp = 4
/
ATOMIC_SPECIES
Li 6.94 Li.upf
Be 9.01 Be.upf
Zn 65.41 Zn.upf
Pt 195.08 Pt.upf
ATOMIC_POSITIONS crystal
Li 0.174 0.326 0.000
Li 0.326 0.826 0.000
Li 0.674 0.174 0.000
Li 0.826 0.674 0.000
Be 0.128 0.628 0.000
Be 0.372 0.128 0.000
Be 0.628 0.872 0.000
Be 0.872 0.372 0.000
Zn 0.000 0.000 0.000
Zn 0.500 0.500 0.000
Pt 0.000 0.500 0.500
Pt 0.070 0.791 0.500
Pt 0.209 0.070 0.500
Pt 0.291 0.570 0.500
Pt 0.430 0.291 0.500
Pt 0.500 0.000 0.500
Pt 0.570 0.709 0.500
Pt 0.709 0.430 0.500
Pt 0.791 0.930 0.500
Pt 0.930 0.209 0.500
CELL_PARAMETERS angstrom
9.644 0.000 0.000
0.000 9.644 0.000
0.000 0.000 2.978
```

Summary:
V	138	Å³/f.u.
E_form	-627.8	meV/atom
space group	P4/mbm
DFT total energy	-0.36041	Ry/atom
crystal system	tetragonal

***

Entry from Alexandria: LiZr2Be2Pt5 after structural relaxation (PBE). Values from VASP.

Structure (Quantum ESPRESSO input):
```
&SYSTEM
  ibrav = 0, nat = 20, ntyp = 4
/
ATOMIC_SPECIES
Li 6.94 Li.upf
Zr 91.22 Zr.upf
Be 9.01 Be.upf
Pt 195.08 Pt.upf
ATOMIC_POSITIONS crystal
Li 0.000 0.000 0.000
Li 0.500 0.500 0.000
Zr 0.177 0.323 0.000
Zr 0.323 0.823 0.000
Zr 0.677 0.177 0.000
Zr 0.823 0.677 0.000
Be 0.121 0.621 0.000
Be 0.379 0.121 0.000
Be 0.621 0.879 0.000
Be 0.879 0.379 0.000
Pt 0.000 0.500 0.500
Pt 0.070 0.792 0.500
Pt 0.208 0.070 0.500
Pt 0.292 0.570 0.500
Pt 0.430 0.292 0.500
Pt 0.500 0.000 0.500
Pt 0.570 0.708 0.500
Pt 0.708 0.430 0.500
Pt 0.792 0.930 0.500
Pt 0.930 0.208 0.500
CELL_PARAMETERS angstrom
9.225 0.000 0.000
0.000 9.225 0.000
0.000 0.000 3.490
```

Summary:
V	148	Å³/f.u.
E_form	-857.3	meV/atom
space group	P4/mbm
DFT total energy	-0.47950	Ry/atom
crystal system	tetragonal

***

Entry from Alexandria: LiPuBe17 after structural relaxation (PBE). Values from VASP.

Structure (Quantum ESPRESSO input):
```
&SYSTEM
  ibrav = 0, nat = 19, ntyp = 3
/
ATOMIC_SPECIES
Li 6.94 Li.upf
Pu 244.00 Pu.upf
Be 9.01 Be.upf
ATOMIC_POSITIONS crystal
Li 0.000 0.000 0.000
Pu 0.316 0.316 0.316
Be 0.002 0.002 0.525
Be 0.002 0.525 0.002
Be 0.170 0.654 0.654
Be 0.321 0.321 0.817
Be 0.321 0.817 0.321
Be 0.375 0.667 0.948
Be 0.375 0.948 0.667
Be 0.525 0.002 0.002
Be 0.564 0.564 0.564
Be 0.654 0.170 0.654
Be 0.654 0.654 0.170
Be 0.667 0.375 0.948
Be 0.667 0.948 0.375
Be 0.759 0.759 0.759
Be 0.817 0.321 0.321
Be 0.948 0.375 0.667
Be 0.948 0.667 0.375
CELL_PARAMETERS angstrom
3.809 2.199 3.677
-3.809 2.199 3.677
0.000 -4.398 3.677
```

Summary:
V	185	Å³/f.u.
E_form	23.8	meV/atom
space group	R3m
DFT total energy	-0.30614	Ry/atom
crystal system	trigonal

***

Entry from Alexandria: LiPu2Be3Si4 after structural relaxation (PBE). Values from VASP.

Structure (Quantum ESPRESSO input):
```
&SYSTEM
  ibrav = 0, nat = 10, ntyp = 4
/
ATOMIC_SPECIES
Li 6.94 Li.upf
Pu 244.00 Pu.upf
Be 9.01 Be.upf
Si 28.09 Si.upf
ATOMIC_POSITIONS crystal
Li 0.000 0.000 0.000
Pu 0.000 0.500 0.741
Pu 0.500 0.000 0.259
Be 0.000 0.500 0.371
Be 0.500 0.000 0.629
Be 0.500 0.500 0.000
Si 0.000 0.000 0.500
Si 0.000 0.500 0.140
Si 0.500 0.000 0.860
Si 0.500 0.500 0.500
CELL_PARAMETERS angstrom
3.936 0.000 0.000
0.000 3.936 0.000
0.000 0.000 9.628
```

Summary:
V	149	Å³/f.u.
space group	P-4m2
DFT total energy	-0.48844	Ry/atom
crystal system	tetragonal

***

Entry from Alexandria: Rb2LiBe2 after structural relaxation (PBE). Values from VASP.

Structure (Quantum ESPRESSO input):
```
&SYSTEM
  ibrav = 0, nat = 10, ntyp = 3
/
ATOMIC_SPECIES
Rb 85.47 Rb.upf
Li 6.94 Li.upf
Be 9.01 Be.upf
ATOMIC_POSITIONS crystal
Rb 0.184 0.316 0.000
Rb 0.316 0.816 0.000
Rb 0.684 0.184 0.000
Rb 0.816 0.684 0.000
Li 0.000 0.000 0.500
Li 0.500 0.500 0.500
Be 0.100 0.600 0.500
Be 0.400 0.100 0.500
Be 0.600 0.900 0.500
Be 0.900 0.400 0.500
CELL_PARAMETERS angstrom
7.555 0.000 0.000
0.000 7.555 0.000
0.000 0.000 5.754
```

Summary:
V	164	Å³/f.u.
E_form	847.0	meV/atom
space group	P4/mbm
DFT total energy	-0.10387	Ry/atom
distance to the lowest polymorph of the same formula	0.00	kcal/mol of atoms
crystal system	tetragonal

***

Entry from Alexandria: RbLiBe2 after structural relaxation (PBE). Values from VASP.

Structure (Quantum ESPRESSO input):
```
&SYSTEM
  ibrav = 0, nat = 4, ntyp = 3
/
ATOMIC_SPECIES
Rb 85.47 Rb.upf
Li 6.94 Li.upf
Be 9.01 Be.upf
ATOMIC_POSITIONS crystal
Rb 0.000 0.000 0.000
Li 0.500 0.500 0.500
Be 0.250 0.250 0.250
Be 0.750 0.750 0.750
CELL_PARAMETERS angstrom
0.000 3.707 3.707
3.707 0.000 3.707
3.707 3.707 0.000
```

Summary:
V	102	Å³/f.u.
E_form	1230.9	meV/atom
space group	Fm-3m
DFT total energy	-0.09941	Ry/atom
distance to the lowest polymorph of the same formula	9.89	kcal/mol of atoms
crystal system	cubic

***

Entry from Alexandria: RbLiBe3 after structural relaxation (PBE). Values from VASP.

Structure (Quantum ESPRESSO input):
```
&SYSTEM
  ibrav = 0, nat = 5, ntyp = 3
/
ATOMIC_SPECIES
Rb 85.47 Rb.upf
Li 6.94 Li.upf
Be 9.01 Be.upf
ATOMIC_POSITIONS crystal
Rb 0.000 0.000 0.000
Li 0.500 0.500 0.500
Be 0.000 0.500 0.500
Be 0.500 0.000 0.500
Be 0.500 0.500 0.000
CELL_PARAMETERS angstrom
4.646 0.000 0.000
0.000 4.646 0.000
0.000 0.000 4.646
```

Summary:
V	100	Å³/f.u.
E_form	1226.5	meV/atom
space group	Pm-3m
DFT total energy	-0.11653	Ry/atom
distance to the lowest polymorph of the same formula	0.00	kcal/mol of atoms
crystal system	cubic

***

Entry from Alexandria: Rb2LiBe after structural relaxation (PBE). Values from VASP.

Structure (Quantum ESPRESSO input):
```
&SYSTEM
  ibrav = 0, nat = 8, ntyp = 3
/
ATOMIC_SPECIES
Rb 85.47 Rb.upf
Li 6.94 Li.upf
Be 9.01 Be.upf
ATOMIC_POSITIONS crystal
Rb 0.375 0.199 0.324
Rb 0.801 0.125 0.176
Rb 0.875 0.051 0.676
Rb 0.949 0.625 0.824
Li 0.250 0.750 0.500
Li 0.500 0.500 0.000
Be 0.000 0.000 0.000
Be 0.750 0.250 0.500
CELL_PARAMETERS angstrom
-6.499 6.499 2.552
6.499 -6.499 2.552
6.499 6.499 -2.552
```

Summary:
V	216	Å³/f.u.
E_form	621.8	meV/atom
space group	I-42d
DFT total energy	-0.09349	Ry/atom
crystal system	tetragonal